Entry 1:
Here is crystalline Ac2AlIn4Cu3 at its relaxed geometry from the Alexandria database. Energies are from GGA-PBE.

Lattice parameters (Å, degrees): 4.606 4.606 11.134 90.00 90.00 90.00
Space group P-4m2 (No. 115)
Asymmetric unit:
Ac1 0.000 0.500 0.247
Al1 0.500 0.500 0.000
In1 0.000 0.000 0.500
In2 0.000 0.500 0.866
In3 0.500 0.500 0.500
Cu1 0.000 0.000 0.000
Cu2 0.000 0.500 0.631

Summary:
Size of the total moment, μB per atom: 0.000
E_tot, eV per cell: -38.22
ΔH_f (0 K), eV/atom: -0.302

Entry 2:
Here is crystalline AcAl2InCu4 at its relaxed geometry from the Alexandria database. Energies are from GGA-PBE.

Lattice parameters (Å, degrees): 4.2588 4.2588 28.9165 90.00 90.00 120.00
Space group R-3m (No. 166, hexagonal axes)
Asymmetric unit:
Ac1 0.0000 0.0000 0.0000
Al1 0.0000 0.0000 0.2441
In1 0.0000 0.0000 0.5000
Cu1 0.0000 0.0000 0.1144
Cu2 0.0000 0.0000 0.4089

Summary:
Size of the total moment, μB per atom: 0.000
E_tot, eV per cell: -96.44
ΔH_f (0 K), eV/atom: -0.179

Entry 3:
Here is crystalline AcAl4Cu2Ir at its relaxed geometry from the Alexandria database. Energies are from GGA-PBE.

Lattice parameters (Å, degrees): 4.2334 4.2334 28.5219 90.00 90.00 120.00
Space group R-3m (No. 166, hexagonal axes)
Asymmetric unit:
Ac1 0.0000 0.0000 0.0000
Al1 0.0000 0.0000 0.1348
Al2 0.0000 0.0000 0.4111
Cu1 0.0000 0.0000 0.2321
Ir1 0.0000 0.0000 0.5000

Summary:
Size of the total moment, μB per atom: 0.000
E_tot, eV per cell: -118.83
ΔH_f (0 K), eV/atom: -0.435

Entry 4:
Here is crystalline AcAlCuIr at its relaxed geometry from the Alexandria database. Energies are from GGA-PBE.

Lattice parameters (Å, degrees): 4.3502 4.3502 15.8410 90.00 90.00 120.00
Space group R3m (No. 160, hexagonal axes)
Asymmetric unit:
Ac1 0.0000 0.0000 0.0000
Al1 0.0000 0.0000 0.4858
Cu1 0.0000 0.0000 0.1952
Ir1 0.0000 0.0000 0.7978

Summary:
Size of the total moment, μB per atom: 0.000
E_tot, eV per cell: -69.28
ΔH_f (0 K), eV/atom: -0.571

Entry 5:
Here is crystalline Ac2Al4CuIr3 at its relaxed geometry from the Alexandria database. Energies are from GGA-PBE.

Lattice parameters (Å, degrees): 4.341 4.341 10.579 90.00 90.00 90.00
Space group P-4m2 (No. 115)
Asymmetric unit:
Ac1 0.000 0.500 0.247
Al1 0.000 0.000 0.500
Al2 0.000 0.500 0.882
Al3 0.500 0.500 0.500
Cu1 0.500 0.500 0.000
Ir1 0.000 0.000 0.000
Ir2 0.000 0.500 0.632

Summary:
Size of the total moment, μB per atom: 0.000
E_tot, eV per cell: -60.91
ΔH_f (0 K), eV/atom: -0.705

Entry 6:
Here is crystalline AcLaAlCu at its relaxed geometry from the Alexandria database. Energies are from GGA-PBE.

Lattice parameters (Å, degrees): 7.658 7.658 7.658 90.00 90.00 90.00
Space group F-43m (No. 216)
Asymmetric unit:
Ac1 0.000 0.000 0.000
La1 0.000 0.000 0.500
Al1 0.250 0.250 0.750
Cu1 0.250 0.250 0.250

Summary:
Size of the total moment, μB per atom: 0.004
E_tot, eV per cell: -70.04
ΔH_f (0 K), eV/atom: -0.159

Entry 7:
Here is crystalline LiAc2Al12Cu3 at its relaxed geometry from the Alexandria database. Energies are from GGA-PBE.

Lattice parameters (Å, degrees): 9.0428 9.0428 17.5746 90.00 90.00 120.00
Space group R-3m (No. 166, hexagonal axes)
Asymmetric unit:
Li1 0.0000 0.0000 0.0000
Ac1 0.0000 0.0000 0.3988
Al1 0.0144 0.5072 0.6351
Al2 0.0790 0.5395 0.7976
Cu1 0.0000 0.5000 0.5000

Summary:
Size of the total moment, μB per atom: 0.000
E_tot, eV per cell: -193.12
ΔH_f (0 K), eV/atom: 0.164

Entry 8:
Here is crystalline LiAcAlCu2 at its relaxed geometry from the Alexandria database. Energies are from GGA-PBE.

Lattice parameters (Å, degrees): 4.233 4.233 11.185 90.00 90.00 90.00
Space group I-4m2 (No. 119)
Asymmetric unit:
Li1 0.000 0.000 0.000
Ac1 0.000 0.500 0.250
Al1 0.000 0.000 0.500
Cu1 0.000 0.500 0.633

Summary:
Size of the total moment, μB per atom: 0.000
E_tot, eV per cell: -37.95
ΔH_f (0 K), eV/atom: -0.203

Entry 9:
Here is crystalline LiAcAl3Cu at its relaxed geometry from the Alexandria database. Energies are from GGA-PBE.

Lattice parameters (Å, degrees): 6.176 13.157 6.186 90.00 90.00 90.00
Space group Cmcm (No. 63)
Asymmetric unit:
Li1 0.000 0.143 0.250
Ac1 0.000 0.220 0.750
Al1 0.000 0.368 0.250
Al2 0.215 0.000 0.000
Cu1 0.000 0.439 0.750

Summary:
Size of the total moment, μB per atom: 0.000
E_tot, eV per cell: -88.60
ΔH_f (0 K), eV/atom: -0.134

Entry 10:
Here is crystalline AcLuAlCu at its relaxed geometry from the Alexandria database. Energies are from GGA-PBE.

Lattice parameters (Å, degrees): 7.426 7.426 7.426 90.00 90.00 90.00
Space group F-43m (No. 216)
Asymmetric unit:
Ac1 0.000 0.000 0.000
Lu1 0.000 0.000 0.500
Al1 0.250 0.250 0.250
Cu1 0.250 0.250 0.750

Summary:
Size of the total moment, μB per atom: 0.000
E_tot, eV per cell: -68.17
ΔH_f (0 K), eV/atom: -0.144

Entry 11:
Here is crystalline AcMgAl2Cu at its relaxed geometry from the Alexandria database. Energies are from GGA-PBE.

Lattice parameters (Å, degrees): 4.445 4.527 11.136 90.00 90.00 90.00
Space group Imm2 (No. 44)
Asymmetric unit:
Ac1 0.000 0.000 0.000
Mg1 0.000 0.500 0.752
Al1 0.000 0.000 0.602
Al2 0.000 0.500 0.254
Cu1 0.000 0.000 0.378

Summary:
Size of the total moment, μB per atom: 0.000
E_tot, eV per cell: -37.50
ΔH_f (0 K), eV/atom: -0.293

Entry 12:
Here is crystalline Ac2MgAl4Cu3 at its relaxed geometry from the Alexandria database. Energies are from GGA-PBE.

Lattice parameters (Å, degrees): 4.437 4.437 10.793 90.00 90.00 90.00
Space group P-4m2 (No. 115)
Asymmetric unit:
Ac1 0.000 0.500 0.243
Mg1 0.000 0.000 0.500
Al1 0.000 0.000 0.000
Al2 0.000 0.500 0.646
Al3 0.500 0.500 0.000
Cu1 0.000 0.500 0.881
Cu2 0.500 0.500 0.500

Summary:
Size of the total moment, μB per atom: 0.000
E_tot, eV per cell: -39.88
ΔH_f (0 K), eV/atom: -0.281

Entry 13:
Here is crystalline Ac2MgAl3Cu4 at its relaxed geometry from the Alexandria database. Energies are from GGA-PBE.

Lattice parameters (Å, degrees): 4.477 4.477 10.261 90.00 90.00 90.00
Space group P-4m2 (No. 115)
Asymmetric unit:
Ac1 0.000 0.500 0.237
Mg1 0.000 0.000 0.500
Al1 0.000 0.500 0.881
Al2 0.500 0.500 0.500
Cu1 0.000 0.000 0.000
Cu2 0.000 0.500 0.635
Cu3 0.500 0.500 0.000

Summary:
Size of the total moment, μB per atom: 0.000
E_tot, eV per cell: -40.23
ΔH_f (0 K), eV/atom: -0.281

Entry 14:
Here is crystalline AcMgAl2Cu2 at its relaxed geometry from the Alexandria database. Energies are from GGA-PBE.

Lattice parameters (Å, degrees): 4.3626 4.3626 7.4920 90.00 90.00 120.00
Space group P-3m1 (No. 164)
Asymmetric unit:
Ac1 0.0000 0.0000 0.0000
Mg1 0.0000 0.0000 0.5000
Al1 0.3333 0.6667 0.3096
Cu1 0.3333 0.6667 0.6770

Summary:
Size of the total moment, μB per atom: 0.000
E_tot, eV per cell: -23.05
ΔH_f (0 K), eV/atom: -0.278

Entry 15:
Here is crystalline Ac2AlCu3Ni12 at its relaxed geometry from the Alexandria database. Energies are from GGA-PBE.

Lattice parameters (Å, degrees): 7.4865 7.4865 18.5186 90.00 90.00 120.00
Space group R-3m (No. 166, hexagonal axes)
Asymmetric unit:
Ac1 0.0000 0.0000 0.1237
Al1 0.0000 0.0000 0.5000
Cu1 0.0000 0.5000 0.0000
Ni1 0.9995 0.4998 0.1244
Ni2 0.0009 0.5005 0.6264

Summary:
Size of the total moment, μB per atom: 0.000
E_tot, eV per cell: -256.33
ΔH_f (0 K), eV/atom: 0.455

Entry 16:
Here is crystalline Ac2AlCu6Ni at its relaxed geometry from the Alexandria database. Energies are from GGA-PBE.

Lattice parameters (Å, degrees): 6.224 6.321 6.629 62.97 62.10 60.53
Space group P-1 (No. 2)
Asymmetric unit:
Ac1 0.217 0.215 0.351
Al1 0.000 0.000 0.000
Cu1 0.252 0.257 0.840
Cu2 0.253 0.646 0.848
Cu3 0.349 0.742 0.160
Ni1 0.500 0.500 0.500

Summary:
Size of the total moment, μB per atom: 0.000
E_tot, eV per cell: -43.38
ΔH_f (0 K), eV/atom: -0.107

Entry 17:
Here is crystalline Ac3AlCu2O8 at its relaxed geometry from the Alexandria database. Energies are from GGA-PBE.

Lattice parameters (Å, degrees): 5.5436 5.5436 7.3108 90.00 90.00 120.00
Space group P-3m1 (No. 164)
Asymmetric unit:
Ac1 0.0000 0.0000 0.0000
Ac2 0.3333 0.6667 0.6337
Al1 0.0000 0.0000 0.5000
Cu1 0.3333 0.6667 0.1964
O1 0.1573 0.3147 0.3381
O2 0.3333 0.6667 0.9466

Summary:
Size of the total moment, μB per atom: 0.147
E_tot, eV per cell: -96.30

Entry 18:
Here is crystalline Ac4Al3CuO12 at its relaxed geometry from the Alexandria database. Energies are from GGA-PBE.

Lattice parameters (Å, degrees): 7.812 7.812 7.812 90.00 90.00 90.00
Space group Im-3m (No. 229)
Asymmetric unit:
Ac1 0.250 0.250 0.250
Al1 0.000 0.000 0.500
Cu1 0.000 0.000 0.000
O1 0.000 0.000 0.257
O2 0.000 0.250 0.500

Summary:
Size of the total moment, μB per atom: 0.099
E_tot, eV per cell: -299.17

Entry 19:
Here is crystalline AcAlCu2O4 at its relaxed geometry from the Alexandria database. Energies are from GGA-PBE.

Lattice parameters (Å, degrees): 5.469 5.469 6.867 90.00 90.00 90.00
Space group I-42m (No. 121)
Asymmetric unit:
Ac1 0.000 0.000 0.000
Al1 0.000 0.000 0.500
Cu1 0.000 0.500 0.250
O1 0.187 0.187 0.347

Summary:
Size of the total moment, μB per atom: 0.000
E_tot, eV per cell: -104.08

Entry 20:
Here is crystalline Ac3Al2CuO9 at its relaxed geometry from the Alexandria database. Energies are from GGA-PBE.

Lattice parameters (Å, degrees): 5.5324 5.5324 6.7837 90.00 90.00 120.00
Space group P-3m1 (No. 164)
Asymmetric unit:
Ac1 0.0000 0.0000 0.0000
Ac2 0.3333 0.6667 0.6599
Al1 0.3333 0.6667 0.1580
Cu1 0.0000 0.0000 0.5000
O1 0.0000 0.5000 0.0000
O2 0.1711 0.3422 0.3270

Summary:
Size of the total moment, μB per atom: 0.131
E_tot, eV per cell: -110.53